Entry from Alexandria via LeMat-Bulk: TeWCl2 after structural relaxation (PBE).

## Properties
Polymorph energy (0 for the lowest one) (meV per atom): 1497
Uncorrected energy (eV for the cell shown): -14.93

CIF file:
```
data_TeWCl2
_chemical_formula_sum 'Te1 W1 Cl2'
_cell_length_a 5.073
_cell_length_b 5.073
_cell_length_c 3.100
_cell_angle_alpha 90.00
_cell_angle_beta 90.00
_cell_angle_gamma 90.00
_symmetry_space_group_name_H-M 'P 4/m m m'
_symmetry_Int_Tables_number 123
_symmetry_space_group_name_Hall '-P 4 2'
loop_
_atom_site_label
_atom_site_fract_x
_atom_site_fract_y
_atom_site_fract_z
Te1 0.000 0.000 0.000
W1 0.500 0.500 0.000
Cl1 0.000 0.500 0.500
```

---

Entry from Alexandria via LeMat-Bulk: Sc2CuW after structural relaxation (PBE).

## Properties
Energy relative to the elements (eV/atom): 0.729
Polymorph energy (0 for the lowest one) (meV per atom): 663
Uncorrected energy (eV for the cell shown): -107.18

CIF file:
```
data_Sc2CuW
_chemical_formula_sum 'Sc8 Cu4 W4'
_cell_length_a 3.976
_cell_length_b 3.976
_cell_length_c 18.797
_cell_angle_alpha 90.00
_cell_angle_beta 90.00
_cell_angle_gamma 90.00
_symmetry_space_group_name_H-M 'I -4 2 d'
_symmetry_Int_Tables_number 122
_symmetry_space_group_name_Hall 'I -4 2bw'
loop_
_atom_site_label
_atom_site_fract_x
_atom_site_fract_y
_atom_site_fract_z
Sc1 0.250 0.250 0.125
Cu1 0.000 0.000 0.000
W1 0.000 0.000 0.500
```

---

Entry from Alexandria via LeMat-Bulk: CaAc3 after structural relaxation (PBE).

## Properties
Energy relative to the elements (eV/atom): 0.024
Uncorrected energy (eV for the cell shown): -14.23

CIF file:
```
data_CaAc3
_chemical_formula_sum 'Ca1 Ac3'
_cell_length_a 5.595
_cell_length_b 5.595
_cell_length_c 5.595
_cell_angle_alpha 90.00
_cell_angle_beta 90.00
_cell_angle_gamma 90.00
_symmetry_space_group_name_H-M 'P m -3 m'
_symmetry_Int_Tables_number 221
_symmetry_space_group_name_Hall '-P 4 2 3'
loop_
_atom_site_label
_atom_site_fract_x
_atom_site_fract_y
_atom_site_fract_z
Ca1 0.000 0.000 0.000
Ac1 0.000 0.500 0.500
```

---

Entry from Alexandria via LeMat-Bulk: SrOsPb2 after structural relaxation (PBE).

## Properties
Energy relative to the elements (eV/atom): 0.389
Uncorrected energy (eV for the cell shown): -75.08

CIF file:
```
data_SrOsPb2
_chemical_formula_sum 'Sr4 Os4 Pb8'
_cell_length_a 7.239
_cell_length_b 7.239
_cell_length_c 7.239
_cell_angle_alpha 90.00
_cell_angle_beta 90.00
_cell_angle_gamma 90.00
_symmetry_space_group_name_H-M 'F m -3 m'
_symmetry_Int_Tables_number 225
_symmetry_space_group_name_Hall '-F 4 2 3'
loop_
_atom_site_label
_atom_site_fract_x
_atom_site_fract_y
_atom_site_fract_z
Sr1 0.000 0.000 0.000
Os1 0.000 0.000 0.500
Pb1 0.250 0.250 0.250
```

---

Entry from Alexandria via LeMat-Bulk: MoRu after structural relaxation (PBE).

## Properties
Energy relative to the elements (eV/atom): 0.038
Uncorrected energy (eV for the cell shown): -120.18

CIF file:
```
data_MoRu
_chemical_formula_sum 'Mo6 Ru6'
_cell_length_a 2.859
_cell_length_b 13.395
_cell_length_c 4.686
_cell_angle_alpha 90.00
_cell_angle_beta 90.00
_cell_angle_gamma 90.00
_symmetry_space_group_name_H-M 'A m m 2'
_symmetry_Int_Tables_number 38
_symmetry_space_group_name_Hall 'A 2 -2'
loop_
_atom_site_label
_atom_site_fract_x
_atom_site_fract_y
_atom_site_fract_z
Mo1 0.000 0.000 0.000
Mo2 0.000 0.157 0.646
Ru1 0.500 0.000 0.490
Ru2 0.500 0.174 0.134
```

---

Entry from Alexandria via LeMat-Bulk: Y2TaRe after structural relaxation (PBE).

## Properties
Energy relative to the elements (eV/atom): 0.556
Polymorph energy (0 for the lowest one) (meV per atom): 522
Uncorrected energy (eV for the cell shown): -35.00

CIF file:
```
data_Y2TaRe
_chemical_formula_sum 'Y2 Ta1 Re1'
_cell_length_a 3.343
_cell_length_b 3.343
_cell_length_c 7.932
_cell_angle_alpha 90.00
_cell_angle_beta 90.00
_cell_angle_gamma 90.00
_symmetry_space_group_name_H-M 'P 4/m m m'
_symmetry_Int_Tables_number 123
_symmetry_space_group_name_Hall '-P 4 2'
loop_
_atom_site_label
_atom_site_fract_x
_atom_site_fract_y
_atom_site_fract_z
Y1 0.000 0.000 0.223
Ta1 0.500 0.500 0.500
Re1 0.500 0.500 0.000
```

---

Entry from Alexandria via LeMat-Bulk: Tm6SnSe5 after structural relaxation (PBE).

## Properties
Uncorrected energy (eV for the cell shown): -132.81

CIF file:
```
data_Tm6SnSe5
_chemical_formula_sum 'Tm12 Sn2 Se10'
_cell_length_a 7.066
_cell_length_b 12.220
_cell_length_c 7.086
_cell_angle_alpha 90.00
_cell_angle_beta 109.36
_cell_angle_gamma 90.00
_symmetry_space_group_name_H-M 'C 1 2/m 1'
_symmetry_Int_Tables_number 12
_symmetry_space_group_name_Hall '-C 2y'
loop_
_atom_site_label
_atom_site_fract_x
_atom_site_fract_y
_atom_site_fract_z
Tm1 0.246 0.000 0.254
Tm2 0.246 0.169 0.743
Sn1 0.000 0.500 0.000
Se1 0.000 0.000 0.500
Se2 0.000 0.167 0.000
Se3 0.000 0.335 0.500
```

---

Entry from Alexandria via LeMat-Bulk: CeMg2Sc after structural relaxation (PBE).

## Properties
Energy relative to the elements (eV/atom): 0.030
Uncorrected energy (eV for the cell shown): -46.01

CIF file:
```
data_CeMg2Sc
_chemical_formula_sum 'Ce3 Mg6 Sc3'
_cell_length_a 3.1867
_cell_length_b 3.1867
_cell_length_c 33.6214
_cell_angle_alpha 90.00
_cell_angle_beta 90.00
_cell_angle_gamma 120.00
_symmetry_space_group_name_H-M 'R -3 m'
_symmetry_Int_Tables_number 166
_symmetry_space_group_name_Hall '-R 3 2"'
loop_
_atom_site_label
_atom_site_fract_x
_atom_site_fract_y
_atom_site_fract_z
Ce1 0.0000 0.0000 0.0000
Mg1 0.0000 0.0000 0.2459
Sc1 0.0000 0.0000 0.5000
```